PmErTlRh (PBE-GGA, relaxed); volume = 97.57 Å³/f.u.; symmetry = P4mm, No. 99; total energy = -0.196 hartree per atom; size of the total moment = 0.0 μB/f.u.; polymorph energy (0 for the lowest one) = 0.0000 eV/atom
1.0
-1.7911 3.0199 -0.2227
-1.5441 -1.1334 -2.9511
-5.8367 -3.1473 4.2628
Pm Er Tl Rh
1 1 1 1
Direct
0.5000 0.5000 0.7854 Pm
0.5000 0.5000 0.3611 Er
0.0000 0.0000 0.0838 Tl
0.0000 0.0000 0.5544 Rh

PmErTlRh (PBE-GGA, relaxed); volume = 97.30 Å³/f.u.; symmetry = F-43m, No. 216; total energy = -0.192 hartree per atom; size of the total moment = 0.0 μB/f.u.; polymorph energy (0 for the lowest one) = 0.1308 eV/atom
1.0
5.1628 0.0000 0.0000
2.5814 4.4711 0.0000
2.5814 1.4904 4.2154
Tl Pm Rh Er
1 1 1 1
Direct
0.2500 0.2500 0.2500 Tl
0.5000 0.5000 0.5000 Pm
0.7500 0.7500 0.7500 Rh
0.0000 0.0000 0.0000 Er

Pm3ErRu (PBE-GGA, relaxed); volume = 154.72 Å³/f.u.; symmetry = Ima2, No. 46; total energy = -0.211 hartree per atom; size of the total moment = 0.0 μB/f.u.; polymorph energy (0 for the lowest one) = 0.0000 eV/atom
1.0
-1.8582 -7.1776 0.6751
6.2278 0.4459 -4.0549
1.9475 3.8507 6.0668
Pm Er Ru
6 2 2
Direct
0.0295 0.2419 0.7081 Pm
0.0295 0.8214 0.2875 Pm
0.5339 0.7419 0.7125 Pm
0.0147 0.2844 0.2303 Pm
0.5339 0.3214 0.2919 Pm
0.0541 0.7844 0.7697 Pm
0.5015 0.7788 0.2227 Er
0.5562 0.2788 0.7773 Er
0.5380 0.0317 0.0063 Ru
0.0254 0.5317 0.9937 Ru

PmEr5Ru4 (PBE-GGA, relaxed); volume = 218.97 Å³/f.u.; symmetry = P4/mmm, No. 123; total energy = -0.250 hartree per atom; size of the total moment = 0.0 μB/f.u.
1.0
3.3859 0.0000 0.0000
0.0000 3.3859 0.0000
0.0000 0.0000 19.0996
Pm Er Ru
1 5 4
Direct
0.0000 0.0000 0.0000 Pm
0.5000 0.5000 0.1501 Er
0.5000 0.5000 0.3248 Er
0.5000 0.5000 0.5000 Er
0.5000 0.5000 0.6752 Er
0.5000 0.5000 0.8499 Er
0.0000 0.0000 0.2311 Ru
0.0000 0.0000 0.4116 Ru
0.0000 0.0000 0.5884 Ru
0.0000 0.0000 0.7689 Ru

PmEr2Ru (PBE-GGA, relaxed); volume = 104.73 Å³/f.u.; symmetry = P4/mmm, No. 123; total energy = -0.222 hartree per atom; size of the total moment = 0.0 μB/f.u.; polymorph energy (0 for the lowest one) = 0.0445 eV/atom
1.0
-0.0646 2.9084 -1.7988
0.0203 -1.7988 -2.9091
-8.9502 -0.1717 0.0437
Ru Pm Er
1 1 2
Direct
0.5000 0.5000 0.0000 Ru
0.5000 0.5000 0.5000 Pm
0.0000 0.0000 0.8192 Er
0.0000 0.0000 0.1808 Er

PmErRu (PBE-GGA, relaxed); volume = 74.20 Å³/f.u.; symmetry = Cmcm, No. 63; total energy = -0.235 hartree per atom; size of the total moment = 0.0 μB/f.u.; polymorph energy (0 for the lowest one) = 0.0982 eV/atom
1.0
-1.8194 -1.4947 2.6173
4.5197 -1.4447 2.3169
1.0464 7.6374 2.7211
Pm Er Ru
2 2 2
Direct
0.9279 0.2500 0.8559 Pm
0.0721 0.7500 0.1441 Pm
0.2109 0.2500 0.4218 Er
0.7891 0.7500 0.5782 Er
0.5771 0.2500 0.1543 Ru
0.4229 0.7500 0.8457 Ru

PmErRu (PBE-GGA, relaxed); volume = 79.03 Å³/f.u.; symmetry = F-43m, No. 216; total energy = -0.236 hartree per atom; size of the total moment = 0.0 μB/f.u.; polymorph energy (0 for the lowest one) = 0.0495 eV/atom
1.0
-3.7947 -0.4763 2.9285
-0.1211 -3.5781 3.2226
0.4453 0.9727 4.6966
Ru Pm Er
1 1 1
Direct
0.2500 0.2500 0.2500 Ru
0.5000 0.5000 0.5000 Pm
0.0000 0.0000 0.0000 Er

PmEr4Ru5 (PBE-GGA, relaxed); volume = 195.26 Å³/f.u.; symmetry = P4/mmm, No. 123; total energy = -0.267 hartree per atom; size of the total moment = 0.0 μB/f.u.
1.0
-1.7993 2.3934 -1.5991
-1.6588 0.6791 2.8828
11.7432 11.5283 4.0415
Pm Er Ru
1 4 5
Direct
0.0000 0.0000 0.0000 Pm
0.0000 0.0000 0.2038 Er
0.0000 0.0000 0.4012 Er
0.0000 0.0000 0.5988 Er
0.0000 0.0000 0.7962 Er
0.5000 0.5000 0.1048 Ru
0.5000 0.5000 0.3026 Ru
0.5000 0.5000 0.5000 Ru
0.5000 0.5000 0.6974 Ru
0.5000 0.5000 0.8952 Ru